Density functional theory data (PBE) for an optimized crystal structure of Li2YBr.

CIF file:
```
data_Li2YBr
_space_group_name_H-M_alt 'R -3 m'
_space_group_IT_number 166
_space_group_name_Hall '-R 3 2"'
_cell_length_a 3.5720
_cell_length_b 3.5720
_cell_length_c 27.5198
_cell_angle_alpha 90.00
_cell_angle_beta 90.00
_cell_angle_gamma 120.00
loop_
_atom_site_label
_atom_site_fract_x
_atom_site_fract_y
_atom_site_fract_z
_atom_site_occupancy
Li1 0.0000 0.0000 0.2268 1
Y1 0.0000 0.0000 0.0000 1
Br1 0.0000 0.0000 0.5000 1
```

Values from the calculation:
Excess energy over the best structure of this formula in the dataset (kJ/mol of formula units): 0
D(E_F) (states/eV/atom): 0.444
Spin magnetization (Bohr magnetons per cell): 0.028